[1]
{"formula": "K2NiRh", "functional": "PBE", "state": "optimized geometry", "m_tot_mub_per_cell": 1.24, "mass_density_g_cm3": 3.509, "e_above_lowest_polymorph_kcal_per_mol_atoms": 3.53, "space_group": "Imm2, No. 44", "cell": [[-0.1917, 5.9770, 0.1255], [-0.8404, 1.7572, 5.6553], [3.9216, -3.1644, -3.2224]], "species": ["K", "K", "Ni", "Rh"], "frac_coords": [[0.0266, 0.0266, 0.0000], [0.7210, 0.2210, 0.5000], [0.4262, 0.4262, 0.0000], [0.3262, 0.8262, 0.5000]]}

***

[2]
{"formula": "ReRu2PbC", "functional": "PBE", "state": "optimized geometry", "m_tot_mub_per_cell": 0.96, "mass_density_g_cm3": 13.015, "space_group": "P4/mmm, No. 123", "cell": [[3.9853, 0.0000, 0.0000], [0.0000, 4.8808, 0.0000], [0.0000, 0.0000, 3.9853]], "species": ["Ru", "Ru", "Pb", "C", "Re"], "frac_coords": [[0.5000, 0.0000, 0.0000], [0.0000, 0.0000, 0.5000], [0.0000, 0.5000, 0.0000], [0.0000, 0.0000, 0.0000], [0.5000, 0.5000, 0.5000]]}

***

Calculated formation energy from the elements in order - 0.5385 1.0649 eV/atom
Calculated D(E_F) in order - 4.30 3.37 states/eV/f.u.
Calculated raw total energy in order - -13.17 -38.61 eV for the cell shown